First-principles (GGA-PBE) data for Y4AlCo after structural relaxation, as listed in the Alexandria database.

a = 5.4103 Å, b = 6.8564 Å, c = 8.3583 Å
α = 90.00°, β = 100.68°, γ = 90.00°
With the nearest neighbours (Å) after each atom.
Sites, in units of the cell vectors:
1 Y 0.1255 0.2500 0.0576  1 Co 2.66
2 Y 0.2150 0.7500 0.3765  1 Co 3.06, 2 Al 3.14-3.16, 2 Y 3.37
3 Y 0.3390 0.5106 0.7602  2 Co 2.73-2.85
4 Y 0.3390 0.9894 0.7602  2 Co 2.73-2.85
5 Y 0.6610 0.0106 0.2398  2 Co 2.73-2.85
6 Y 0.6610 0.4894 0.2398  2 Co 2.73-2.85
7 Y 0.7850 0.2500 0.6235  1 Co 3.06, 2 Al 3.14-3.16, 2 Y 3.37
8 Y 0.8745 0.7500 0.9424  1 Co 2.66
9 Al 0.2304 0.2500 0.4275  5 Y 3.04-3.27
10 Al 0.7696 0.7500 0.5725  5 Y 3.04-3.27
11 Co 0.3701 0.7500 0.0419  5 Y 2.66-2.85
12 Co 0.6299 0.2500 0.9581  5 Y 2.66-2.85

Summary:
- Calculated density: 4.813 g/cm3
- Density of states at the Fermi level: 1.06 states/eV/atom
- Space group: No. 11
- Relative energy among the computed polymorphs: 0.137 eV per formula unit
- Uncorrected energy: -6.30 eV/atom
- M_tot: 0.00 μB per formula unit